VASP calculation (PBE) on an optimized crystal structure of Sr2CoCu.

The structure in POSCAR format:
```
Sr2CoCu
1.0
7.2110 0.0000 0.0000
0.0000 7.2110 0.0000
0.0000 0.0000 7.2110
Sr Co Cu
8 4 4
Direct
0.0000 0.0000 0.0000
0.0000 0.5000 0.5000
0.2500 0.2500 0.2500
0.2500 0.7500 0.7500
0.5000 0.0000 0.5000
0.5000 0.5000 0.0000
0.7500 0.2500 0.7500
0.7500 0.7500 0.2500
0.2500 0.2500 0.7500
0.2500 0.7500 0.2500
0.7500 0.2500 0.2500
0.7500 0.7500 0.7500
0.0000 0.0000 0.5000
0.0000 0.5000 0.0000
0.5000 0.0000 0.0000
0.5000 0.5000 0.5000
```

E_form ... 0.629 eV per atom
Energy above the most stable polymorph in this dataset ... 454 meV/atom